1.
A plane-wave DFT calculation with PBE was carried out for LuMn4Tc after structural relaxation.

Values from the calculation:
Crystal system   cubic
Calculated formation energy   6.79 kJ per mole of atoms

a b c (Å): 6.851 6.851 6.851
angles (deg): 90.00 90.00 90.00
Space group F-43m (No. 216)
Symmetry-distinct sites (fractional):
1 Lu 0.000 0.000 0.000 (multiplicity 4)
2 Mn 0.126 0.126 0.626 (multiplicity 16)
3 Tc 0.250 0.250 0.250 (multiplicity 4)

=====

2.
A plane-wave DFT calculation with PBE was carried out for Lu2MnTc after structural relaxation.

Values from the calculation:
Crystal system   cubic
Calculated formation energy   2.67 kJ per mole of atoms
Excess energy over the best structure of this formula in the dataset   0.000 eV per atom

a b c (Å): 6.809 6.809 6.809
angles (deg): 90.00 90.00 90.00
Space group Fm-3m (No. 225)
Symmetry-distinct sites (fractional):
1 Lu 0.250 0.250 0.250 (multiplicity 8)
2 Mn 0.000 0.000 0.000 (multiplicity 4)
3 Tc 0.000 0.000 0.500 (multiplicity 4)

=====

3.
A plane-wave DFT calculation with PBE was carried out for Lu2MnTc after structural relaxation.

Values from the calculation:
Crystal system   tetragonal
Calculated formation energy   3.46 kJ per mole of atoms
Excess energy over the best structure of this formula in the dataset   0.008 eV per atom

a b c (Å): 3.471 3.471 6.604
angles (deg): 90.00 90.00 90.00
Space group P4/mmm (No. 123)
Symmetry-distinct sites (fractional):
1 Lu 0.000 0.000 0.238 (multiplicity 2)
2 Mn 0.500 0.500 0.500 (multiplicity 1)
3 Tc 0.500 0.500 0.000 (multiplicity 1)

=====

4.
A plane-wave DFT calculation with PBE was carried out for LuThMnTc after structural relaxation.

Values from the calculation:
Crystal system   cubic
Calculated formation energy   1.11 kJ per mole of atoms

a b c (Å): 6.952 6.952 6.952
angles (deg): 90.00 90.00 90.00
Space group F-43m (No. 216)
Symmetry-distinct sites (fractional):
1 Lu 0.000 0.000 0.000 (multiplicity 4)
2 Th 0.000 0.000 0.500 (multiplicity 4)
3 Mn 0.250 0.250 0.250 (multiplicity 4)
4 Tc 0.250 0.250 0.750 (multiplicity 4)

=====

5.
A plane-wave DFT calculation with PBE was carried out for TmLuMnTc after structural relaxation.

Values from the calculation:
Crystal system   cubic
Calculated formation energy   4.27 kJ per mole of atoms

a b c (Å): 6.834 6.834 6.834
angles (deg): 90.00 90.00 90.00
Space group F-43m (No. 216)
Symmetry-distinct sites (fractional):
1 Tm 0.000 0.000 0.000 (multiplicity 4)
2 Lu 0.000 0.000 0.500 (multiplicity 4)
3 Mn 0.250 0.250 0.250 (multiplicity 4)
4 Tc 0.250 0.250 0.750 (multiplicity 4)

=====

6.
A plane-wave DFT calculation with PBE was carried out for LuMnTcW after structural relaxation.

Values from the calculation:
Crystal system   cubic
Calculated formation energy   6.00 kJ per mole of atoms

a b c (Å): 6.345 6.345 6.345
angles (deg): 90.00 90.00 90.00
Space group F-43m (No. 216)
Symmetry-distinct sites (fractional):
1 Lu 0.000 0.000 0.000 (multiplicity 4)
2 Mn 0.250 0.250 0.750 (multiplicity 4)
3 Tc 0.250 0.250 0.250 (multiplicity 4)
4 W 0.000 0.000 0.500 (multiplicity 4)

=====

7.
A plane-wave DFT calculation with PBE was carried out for Lu3Mn5Te12 after structural relaxation.

Values from the calculation:
Crystal system   cubic
E_form (uncorrected)   -0.459 eV/atom

a b c (Å): 16.790 16.790 16.790
angles (deg): 90.00 90.00 90.00
Space group Ia-3d (No. 230)
Symmetry-distinct sites (fractional):
1 Lu 0.000 0.250 0.125 (multiplicity 24)
2 Mn 0.000 0.000 0.000 (multiplicity 16)
3 Mn 0.000 0.250 0.375 (multiplicity 24)
4 Te 0.026 0.063 0.649 (multiplicity 96)

=====

8.
A plane-wave DFT calculation with PBE was carried out for Lu3ThMn after structural relaxation.

Values from the calculation:
Crystal system   cubic
Calculated formation energy   27.37 kJ per mole of atoms

a b c (Å): 5.185 5.185 5.185
angles (deg): 90.00 90.00 90.00
Space group Pm-3m (No. 221)
Symmetry-distinct sites (fractional):
1 Lu 0.000 0.000 0.500 (multiplicity 3)
2 Th 0.500 0.500 0.500 (multiplicity 1)
3 Mn 0.000 0.000 0.000 (multiplicity 1)

=====

9.
A plane-wave DFT calculation with PBE was carried out for LuThMn4 after structural relaxation.

Values from the calculation:
Crystal system   cubic
Calculated formation energy   4.49 kJ per mole of atoms

a b c (Å): 7.331 7.331 7.331
angles (deg): 90.00 90.00 90.00
Space group F-43m (No. 216)
Symmetry-distinct sites (fractional):
1 Lu 0.000 0.000 0.000 (multiplicity 4)
2 Th 0.250 0.250 0.750 (multiplicity 4)
3 Mn 0.126 0.126 0.374 (multiplicity 16)

=====

10.
A plane-wave DFT calculation with PBE was carried out for LuTh2Mn after structural relaxation.

Values from the calculation:
Crystal system   tetragonal
Calculated formation energy   14.86 kJ per mole of atoms

a b c (Å): 3.566 3.566 8.477
angles (deg): 90.00 90.00 90.00
Space group P4/mmm (No. 123)
Symmetry-distinct sites (fractional):
1 Lu 0.000 0.000 0.000 (multiplicity 1)
2 Th 0.500 0.500 0.290 (multiplicity 2)
3 Mn 0.000 0.000 0.500 (multiplicity 1)

=====

11.
A plane-wave DFT calculation with PBE was carried out for LuThMnZn after structural relaxation.

Values from the calculation:
Crystal system   cubic
Calculated formation energy   -2.24 kJ per mole of atoms

a b c (Å): 7.078 7.078 7.078
angles (deg): 90.00 90.00 90.00
Space group F-43m (No. 216)
Symmetry-distinct sites (fractional):
1 Lu 0.000 0.000 0.000 (multiplicity 4)
2 Th 0.000 0.000 0.500 (multiplicity 4)
3 Mn 0.250 0.250 0.250 (multiplicity 4)
4 Zn 0.250 0.250 0.750 (multiplicity 4)

=====

12.
A plane-wave DFT calculation with PBE was carried out for LuTi2Mn after structural relaxation.

Values from the calculation:
Crystal system   tetragonal
Calculated formation energy   2.45 kJ per mole of atoms

a b c (Å): 3.057 3.057 7.655
angles (deg): 90.00 90.00 90.00
Space group P4/mmm (No. 123)
Symmetry-distinct sites (fractional):
1 Lu 0.000 0.000 0.000 (multiplicity 1)
2 Ti 0.500 0.500 0.319 (multiplicity 2)
3 Mn 0.000 0.000 0.500 (multiplicity 1)